1.
Below is crystalline NpZnTcO6 at its relaxed geometry, with properties calculated at the PBE level.

## Properties
**Uncorrected formation energy**: -1.89 eV/atom
**E**: -7.9236 eV/atom
**Calculated volume**: 12.0 A^3/atom

a b c (Å): 5.2433 5.2433 9.0837
angles (deg): 90.00 90.00 120.00
Fractional coordinates of all 18 atoms:
Np1 0.3333 0.6667 0.2500
Np2 0.6667 0.3333 0.7500
Zn1 0.3333 0.6667 0.7500
Zn2 0.6667 0.3333 0.2500
Tc1 0.0000 0.0000 0.0000
Tc2 0.0000 0.0000 0.5000
O1 0.0053 0.3211 0.1244
O2 0.0053 0.6842 0.3756
O3 0.3158 0.3211 0.3756
O4 0.3158 0.9947 0.1244
O5 0.3211 0.0053 0.6244
O6 0.3211 0.3158 0.8756
O7 0.6789 0.6842 0.1244
O8 0.6789 0.9947 0.3756
O9 0.6842 0.0053 0.8756
O10 0.6842 0.6789 0.6244
O11 0.9947 0.3158 0.6244
O12 0.9947 0.6789 0.8756

---

2.
Below is crystalline NpTe2O6 at its relaxed geometry, with properties calculated at the PBE level.

## Properties
**Uncorrected formation energy**: -1.57 eV/atom
**D(E_F)**: 6.02 states/eV/f.u.
**E**: -7.0086 eV/atom
**Calculated volume**: 18.6 A^3/atom

a b c (Å): 8.1440 8.1440 5.8059
angles (deg): 100.47 100.47 63.16
Fractional coordinates of all 18 atoms:
Np1 0.1078 0.8922 0.7500
Np2 0.8922 0.1078 0.2500
Te1 0.1116 0.4166 0.7737
Te2 0.4166 0.1116 0.2737
Te3 0.5834 0.8884 0.7263
Te4 0.8884 0.5834 0.2263
O1 0.0088 0.1492 0.6000
O2 0.1492 0.0088 0.1000
O3 0.1798 0.6188 0.8314
O4 0.2352 0.3273 0.4319
O5 0.3273 0.2352 0.9319
O6 0.3812 0.8202 0.6686
O7 0.6188 0.1798 0.3314
O8 0.6727 0.7648 0.0681
O9 0.7648 0.6727 0.5681
O10 0.8202 0.3812 0.1686
O11 0.8508 0.9912 0.9000
O12 0.9912 0.8508 0.4000

---

3.
Below is crystalline NpTeO at its relaxed geometry, with properties calculated at the PBE level.

## Properties
**Uncorrected formation energy**: -1.67 eV/atom
**D(E_F)**: 8.55 states/eV/f.u.
**E**: -8.6877 eV/atom
**Calculated volume**: 24.4 A^3/atom

a b c (Å): 3.8685 12.0914 6.2613
angles (deg): 90.00 90.00 90.00
Fractional coordinates of all 12 atoms:
Np1 0.0000 0.1384 0.2500
Np2 0.0000 0.8616 0.7500
Np3 0.5000 0.3616 0.7500
Np4 0.5000 0.6384 0.2500
Te1 0.0000 0.1510 0.7500
Te2 0.0000 0.8490 0.2500
Te3 0.5000 0.3490 0.2500
Te4 0.5000 0.6510 0.7500
O1 0.0000 0.4236 0.7500
O2 0.0000 0.5764 0.2500
O3 0.5000 0.0764 0.2500
O4 0.5000 0.9236 0.7500

---

4.
Below is crystalline NpTeO at its relaxed geometry, with properties calculated at the PBE level.

## Properties
**Uncorrected formation energy**: -1.81 eV/atom
**D(E_F)**: 8.03 states/eV/f.u.
**E**: -8.8242 eV/atom
**Calculated volume**: 20.6 A^3/atom

a b c (Å): 3.8712 3.8712 4.7649
angles (deg): 90.00 90.00 120.00
Fractional coordinates of all 3 atoms:
Np1 0.0000 0.0000 0.0000
Te1 0.6667 0.3333 0.5000
O1 0.3333 0.6667 0.0000

---

5.
Below is crystalline Np2Te2O at its relaxed geometry, with properties calculated at the PBE level.

## Properties
**Uncorrected formation energy**: -1.41 eV/atom
**D(E_F)**: 17.16 states/eV/f.u.
**E**: -8.8375 eV/atom
**Calculated volume**: 24.9 A^3/atom

a b c (Å): 7.6733 7.6733 7.6733
angles (deg): 129.34 71.43 133.21
Fractional coordinates of all 10 atoms:
Np1 0.0996 0.1860 0.2856
Np2 0.4004 0.6860 0.0864
Np3 0.5996 0.3140 0.9136
Np4 0.9004 0.8140 0.7144
Te1 0.1477 0.6710 0.8187
Te2 0.3523 0.1710 0.5234
Te3 0.6477 0.8290 0.4766
Te4 0.8523 0.3290 0.1813
O1 0.2500 0.2500 0.0000
O2 0.7500 0.7500 0.0000

---

6.
Below is crystalline Np2TeO at its relaxed geometry, with properties calculated at the PBE level.

## Properties
**Uncorrected formation energy**: -0.93 eV/atom
**D(E_F)**: 15.60 states/eV/f.u.
**E**: -9.4284 eV/atom
**Calculated volume**: 27.8 A^3/atom
**Energy relative to the lowest polymorph listed for this composition**: 0.0 kJ/mol of atoms

a b c (Å): 3.9274 3.9274 24.9750
angles (deg): 90.00 90.00 120.00
Fractional coordinates of all 12 atoms:
Np1 0.0000 0.0000 0.0824
Np2 0.0000 0.0000 0.9176
Np3 0.3333 0.6667 0.5843
Np4 0.3333 0.6667 0.7490
Np5 0.6667 0.3333 0.2510
Np6 0.6667 0.3333 0.4157
Te1 0.0000 0.0000 0.5000
Te2 0.3333 0.6667 0.1667
Te3 0.6667 0.3333 0.8333
O1 0.0000 0.0000 0.0000
O2 0.3333 0.6667 0.6667
O3 0.6667 0.3333 0.3333

---

7.
Below is crystalline Np2TeO at its relaxed geometry, with properties calculated at the PBE level.

## Properties
**Uncorrected formation energy**: -0.77 eV/atom
**D(E_F)**: 10.41 states/eV/f.u.
**E**: -9.2681 eV/atom
**Calculated volume**: 20.2 A^3/atom
**Energy relative to the lowest polymorph listed for this composition**: 15.5 kJ/mol of atoms

a b c (Å): 3.3866 3.3866 7.0619
angles (deg): 90.00 90.00 90.00
Fractional coordinates of all 4 atoms:
Np1 0.0000 0.0000 0.2070
Np2 0.0000 0.0000 0.7930
Te1 0.5000 0.5000 0.5000
O1 0.5000 0.5000 0.0000

---

8.
Below is crystalline Np2TeO3 at its relaxed geometry, with properties calculated at the PBE level.

## Properties
**Uncorrected formation energy**: -2.30 eV/atom
**D(E_F)**: 13.46 states/eV/f.u.
**E**: -9.6177 eV/atom
**Calculated volume**: 16.6 A^3/atom

a b c (Å): 6.0188 6.0188 3.1753
angles (deg): 90.00 90.00 120.00
Fractional coordinates of all 6 atoms:
Np1 0.3333 0.6667 0.0000
Np2 0.6667 0.3333 0.0000
Te1 0.0000 0.0000 0.0000
O1 0.0000 0.5000 0.5000
O2 0.5000 0.0000 0.5000
O3 0.5000 0.5000 0.5000

---

9.
Below is crystalline NpTe2O8 at its relaxed geometry, with properties calculated at the PBE level.

## Properties
**Uncorrected formation energy**: -1.16 eV/atom
**D(E_F)**: 5.90 states/eV/f.u.
**E**: -6.5182 eV/atom
**Calculated volume**: 18.5 A^3/atom

a b c (Å): 6.5230 6.5230 5.6713
angles (deg): 102.96 102.96 61.11
Fractional coordinates of all 11 atoms:
Np1 0.0000 0.0000 0.0000
Te1 0.2048 0.2048 0.6958
Te2 0.7952 0.7952 0.3042
O1 0.0792 0.6825 0.1671
O2 0.1369 0.1369 0.3501
O3 0.3175 0.9208 0.8329
O4 0.3715 0.3715 0.7564
O5 0.6285 0.6285 0.2436
O6 0.6825 0.0792 0.1671
O7 0.8631 0.8631 0.6499
O8 0.9208 0.3175 0.8329

---

10.
Below is crystalline Np2TeO11 at its relaxed geometry, with properties calculated at the PBE level.

## Properties
**Uncorrected formation energy**: -1.68 eV/atom
**D(E_F)**: 2.12 states/eV/f.u.
**E**: -7.6475 eV/atom
**Calculated volume**: 16.9 A^3/atom

a b c (Å): 7.8842 7.9766 9.1596
angles (deg): 104.89 105.66 111.52
Fractional coordinates of all 28 atoms:
Np1 0.0000 0.0000 0.0000
Np2 0.2012 0.7222 0.5000
Np3 0.5236 0.5634 0.0074
Np4 0.7650 0.2744 0.5227
Te1 0.2579 0.2707 0.5160
Te2 0.9960 0.5039 0.0100
O1 0.0308 0.7452 0.9805
O2 0.0930 0.6440 0.2503
O3 0.1237 0.0932 0.2267
O4 0.1501 0.9392 0.5280
O5 0.2726 0.5775 0.0373
O6 0.2814 0.4957 0.4648
O7 0.3065 0.2526 0.0184
O8 0.3264 0.0926 0.9915
O9 0.3256 0.7980 0.7231
O10 0.3683 0.4341 0.7728
O11 0.5058 0.9854 0.5244
O12 0.5856 0.3786 0.5612
O13 0.6139 0.1433 0.3008
O14 0.6363 0.9281 0.4994
O15 0.6544 0.6684 0.2282
O16 0.7125 0.8091 0.9945
O17 0.7227 0.4505 0.9798
O18 0.9046 0.9296 0.7815
O19 0.9117 0.3697 0.7689
O20 0.9391 0.5292 0.4971
O21 0.9527 0.2592 0.0308
O22 0.9894 0.2081 0.4984

---

11.
Below is crystalline NpTe2O at its relaxed geometry, with properties calculated at the PBE level.

## Properties
**Uncorrected formation energy**: -1.23 eV/atom
**D(E_F)**: 6.86 states/eV/f.u.
**E**: -7.2710 eV/atom
**Calculated volume**: 25.0 A^3/atom

a b c (Å): 6.5100 3.7653 8.4553
angles (deg): 90.00 104.97 90.00
Fractional coordinates of all 8 atoms:
Np1 0.0000 0.0000 0.0000
Np2 0.5000 0.5000 0.0000
Te1 0.2344 0.0000 0.7051
Te2 0.4335 0.0000 0.2990
Te3 0.7344 0.5000 0.7051
Te4 0.9335 0.5000 0.2990
O1 0.1675 0.5000 0.0033
O2 0.6675 0.0000 0.0033

---

12.
Below is crystalline NpTe3O9 at its relaxed geometry, with properties calculated at the PBE level.

## Properties
**Uncorrected formation energy**: -1.51 eV/atom
**D(E_F)**: 0.40 states/eV/f.u.
**E**: -6.6610 eV/atom
**Calculated volume**: 19.7 A^3/atom

a b c (Å): 8.6554 8.6554 11.9932
angles (deg): 119.36 119.36 42.01
Fractional coordinates of all 26 atoms:
Np1 0.0049 0.9951 0.5000
Np2 0.9951 0.0049 0.0000
Te1 0.1004 0.4603 0.2064
Te2 0.4348 0.5571 0.7490
Te3 0.4603 0.1004 0.7064
Te4 0.5571 0.4348 0.2490
Te5 0.5613 0.9040 0.4134
Te6 0.9040 0.5613 0.9134
O1 0.0388 0.2648 0.0687
O2 0.1619 0.7469 0.3649
O3 0.2291 0.7327 0.6176
O4 0.2335 0.8550 0.1343
O5 0.2472 0.7665 0.8745
O6 0.2648 0.0388 0.5687
O7 0.3037 0.3759 0.6587
O8 0.3759 0.3037 0.1587
O9 0.5785 0.7376 0.8427
O10 0.6966 0.8809 0.5996
O11 0.7327 0.2291 0.1176
O12 0.7376 0.5785 0.3427
O13 0.7469 0.1619 0.8649
O14 0.7582 0.9207 0.4048
O15 0.7665 0.2472 0.3745
O16 0.8550 0.2335 0.6343
O17 0.8809 0.6966 0.0996
O18 0.9207 0.7582 0.9048

---

Question: What is the uncorrected formation energy in the second record?
Answer: -1.57 eV/atom